(1)
# ScAl2In

An optimized crystal structure of ScAl2In (GGA-PBE, Alexandria via LeMat-Bulk).

Cell and atoms, written as extended XYZ:
```
4
Lattice="-2.076 2.076 4.525 2.076 -2.076 4.525 2.076 2.076 -4.525" Properties=species:S:1:pos:R:3 pbc="T T T"
Sc 0.000 0.000 0.000
Al 0.000 0.000 4.525
Al 0.000 2.076 2.263
In 2.076 0.000 2.263
```

Summary:
**Formation energy**: -0.294 eV/atom
**Space group**: I-4m2, No. 119

=====

(2)
# TbHoHgPb

An optimized crystal structure of TbHoHgPb (GGA-PBE, Alexandria via LeMat-Bulk).

Cell and atoms, written as extended XYZ:
```
4
Lattice="0.000 3.777 3.777 3.777 0.000 3.777 3.777 3.777 0.000" Properties=species:S:1:pos:R:3 pbc="T T T"
Tb 0.000 0.000 0.000
Ho 3.777 3.777 3.777
Hg 1.888 1.888 1.888
Pb 5.665 5.665 5.665
```

Summary:
**E above lowest polymorph**: 0.008 eV/atom
**Formation energy**: -0.449 eV/atom
**Space group**: F-43m, No. 216

=====

(3)
# TcSb2Pt

An optimized crystal structure of TcSb2Pt (GGA-PBE, Alexandria via LeMat-Bulk).

Cell and atoms, written as extended XYZ:
```
4
Lattice="3.472 0.000 0.000 0.000 4.017 0.000 0.000 0.000 5.528" Properties=species:S:1:pos:R:3 pbc="T T T"
Tc 0.000 0.000 0.000
Sb 0.000 0.000 2.703
Sb 1.736 2.009 4.735
Pt 1.736 2.009 1.925
```

Summary:
**E_form (uncorrected)**: -0.13 eV per formula unit
**E above lowest polymorph**: 0.037 eV/atom
**Space group**: Pmm2, No. 25

=====

(4)
# Ba2LaCoTe

An optimized crystal structure of Ba2LaCoTe (GGA-PBE, Alexandria via LeMat-Bulk).

Cell and atoms, written as extended XYZ:
```
5
Lattice="5.976 0.000 0.000 0.000 5.976 0.000 0.000 0.000 5.017" Properties=species:S:1:pos:R:3 pbc="T T T"
Ba 0.000 2.988 0.000
Ba 2.988 0.000 0.000
La 0.000 0.000 2.509
Co 0.000 0.000 0.000
Te 2.988 2.988 2.509
```

Summary:
**E_form (uncorrected)**: -2.04 eV per formula unit
**Space group**: P4/mmm, No. 123

=====

(5)
# K2Tc

An optimized crystal structure of K2Tc (GGA-PBE, Alexandria via LeMat-Bulk).

Cell and atoms, written as extended XYZ:
```
12
Lattice="6.567 0.000 0.000 -3.283 5.687 0.000 0.000 0.000 11.979" Properties=species:S:1:pos:R:3 pbc="T T T"
K 0.000 0.000 0.000
K 0.000 0.000 5.989
K 0.000 1.981 2.995
K -1.568 4.697 2.995
K 1.716 0.991 8.984
K 1.568 4.697 2.995
K 4.851 0.991 8.984
K 3.283 3.706 8.984
Tc 0.000 3.791 6.311
Tc 0.000 3.791 11.657
Tc 3.283 1.896 0.321
Tc 3.283 1.896 5.668
```

Summary:
**E above lowest polymorph**: 1.094 eV/atom
**Formation energy**: 1.741 eV/atom
**Space group**: P6_3/mmc, No. 194

=====

(6)
# Sm2PuIn9

An optimized crystal structure of Sm2PuIn9 (GGA-PBE, Alexandria via LeMat-Bulk).

Cell and atoms, written as extended XYZ:
```
12
Lattice="4.669 0.000 0.000 0.000 4.669 0.000 0.000 0.000 14.037" Properties=species:S:1:pos:R:3 pbc="T T T"
Sm 0.000 0.000 2.329
Sm 0.000 0.000 11.708
Pu 0.000 0.000 7.019
In 0.000 2.335 0.000
In 0.000 2.335 4.710
In 0.000 2.335 9.327
In 2.335 0.000 0.000
In 2.335 0.000 4.710
In 2.335 0.000 9.327
In 2.335 2.335 2.361
In 2.335 2.335 7.019
In 2.335 2.335 11.676
```

Summary:
**Formation energy**: -0.382 eV/atom
**Space group**: P4/mmm, No. 123